(1)
! AcNd2Rh, relaxed, DFT PBE-GGA; values from VASP
&SYSTEM
  ibrav = 0, nat = 12, ntyp = 3
/
ATOMIC_SPECIES
Ac 227.00 Ac.upf
Nd 144.24 Nd.upf
Rh 102.91 Rh.upf
CELL_PARAMETERS angstrom
3.946 0.000 0.000
-1.973 3.417 0.000
0.000 0.000 32.783
ATOMIC_POSITIONS angstrom
Ac 0.000 0.000 0.000
Ac 0.000 2.278 21.855
Ac 1.973 1.139 10.928
Nd 0.000 0.000 3.811
Nd 0.000 0.000 28.972
Nd 0.000 2.278 18.045
Nd 0.000 2.278 25.666
Nd 1.973 1.139 7.117
Nd 1.973 1.139 14.738
Rh 0.000 0.000 16.392
Rh 0.000 2.278 5.464
Rh 1.973 1.139 27.319
! - Energy of formation: -66 kJ/mol of formula units
! - DFT total energy: -65.04 eV/cell
! - Density of states at the Fermi level: 1.334 states/eV/atom
! - Energy above the lowest structure with this stoichiometry: 248.4 meV/atom
! - Spin magnetization: 0.00 μB/f.u.

---

(2)
! Ac8NdRh6, relaxed, DFT PBE-GGA; values from VASP
&SYSTEM
  ibrav = 0, nat = 15, ntyp = 3
/
ATOMIC_SPECIES
Ac 227.00 Ac.upf
Nd 144.24 Nd.upf
Rh 102.91 Rh.upf
CELL_PARAMETERS angstrom
3.748 2.164 10.051
-3.748 2.164 10.051
0.000 -4.328 10.051
ATOMIC_POSITIONS angstrom
Ac -2.501 -0.001 11.804
Ac 0.000 0.000 5.026
Ac -1.249 -2.166 18.350
Ac 1.252 -2.165 11.804
Ac -1.252 2.165 18.350
Ac 1.249 2.166 11.804
Ac 0.000 0.000 25.128
Ac 2.501 0.001 18.350
Nd 0.000 0.000 15.077
Rh -1.231 -2.132 13.296
Rh -2.462 0.000 16.859
Rh -1.231 2.132 13.296
Rh 1.231 -2.132 16.859
Rh 2.462 0.000 13.296
Rh 1.231 2.132 16.859
! - Energy of formation: -855 kJ/mol of formula units
! - DFT total energy: -90.60 eV/cell
! - Density of states at the Fermi level: 0.712 states/eV/atom
! - Spin magnetization: 0.00 μB/f.u.

---

(3)
! AcNd2Rh2, relaxed, DFT PBE-GGA; values from VASP
&SYSTEM
  ibrav = 0, nat = 10, ntyp = 3
/
ATOMIC_SPECIES
Ac 227.00 Ac.upf
Nd 144.24 Nd.upf
Rh 102.91 Rh.upf
CELL_PARAMETERS angstrom
2.008 -6.736 0.000
2.008 6.736 0.000
0.000 0.000 10.505
ATOMIC_POSITIONS angstrom
Ac 2.008 5.442 7.879
Ac 2.008 -5.442 2.626
Nd 2.008 1.928 6.004
Nd 2.008 1.928 9.753
Nd 2.008 -1.928 0.752
Nd 2.008 -1.928 4.500
Rh 0.000 0.000 0.000
Rh 0.000 0.000 5.252
Rh 2.008 3.500 2.626
Rh 2.008 -3.500 7.879
! - Energy of formation: -275 kJ/mol of formula units
! - DFT total energy: -62.39 eV/cell
! - Density of states at the Fermi level: 0.609 states/eV/atom
! - Energy above the lowest structure with this stoichiometry: 0.0 meV/atom
! - Spin magnetization: 0.00 μB/f.u.

---

(4)
! Ac3Nd2Rh2, relaxed, DFT PBE-GGA; values from VASP
&SYSTEM
  ibrav = 0, nat = 14, ntyp = 3
/
ATOMIC_SPECIES
Ac 227.00 Ac.upf
Nd 144.24 Nd.upf
Rh 102.91 Rh.upf
CELL_PARAMETERS angstrom
13.192 0.000 0.000
0.000 4.035 0.000
-4.109 0.000 8.616
ATOMIC_POSITIONS angstrom
Ac 0.000 0.000 0.000
Ac -0.258 0.000 3.687
Ac 2.745 2.018 4.929
Ac 6.596 2.018 0.000
Ac 6.338 2.018 3.687
Ac 9.341 0.000 4.929
Nd -0.962 2.018 7.041
Nd 3.449 0.000 1.575
Nd 5.634 0.000 7.041
Nd 10.046 2.018 1.575
Rh 1.426 2.018 2.135
Rh 1.061 0.000 6.481
Rh 8.022 0.000 2.135
Rh 7.657 2.018 6.481
! - Energy of formation: -289 kJ/mol of formula units
! - DFT total energy: -79.12 eV/cell
! - Density of states at the Fermi level: 1.008 states/eV/atom
! - Spin magnetization: 0.00 μB/f.u.

---

(5)
! Ac2NdRh2, relaxed, DFT PBE-GGA; values from VASP
&SYSTEM
  ibrav = 0, nat = 10, ntyp = 3
/
ATOMIC_SPECIES
Ac 227.00 Ac.upf
Nd 144.24 Nd.upf
Rh 102.91 Rh.upf
CELL_PARAMETERS angstrom
13.756 0.000 0.000
0.000 4.298 0.000
-2.562 0.000 5.372
ATOMIC_POSITIONS angstrom
Ac 1.959 0.000 0.943
Ac 2.357 2.149 4.429
Ac 8.837 2.149 0.943
Ac 9.235 0.000 4.429
Nd -1.281 2.149 2.686
Nd 5.597 0.000 2.686
Rh 0.436 0.000 3.513
Rh 3.880 2.149 1.859
Rh 7.314 2.149 3.513
Rh 10.758 0.000 1.859
! - Energy of formation: -284 kJ/mol of formula units
! - DFT total energy: -61.27 eV/cell
! - Density of states at the Fermi level: 0.568 states/eV/atom
! - Spin magnetization: 0.00 μB/f.u.

---

(6)
! AcNd2Rh2, relaxed, DFT PBE-GGA; values from VASP
&SYSTEM
  ibrav = 0, nat = 10, ntyp = 3
/
ATOMIC_SPECIES
Ac 227.00 Ac.upf
Nd 144.24 Nd.upf
Rh 102.91 Rh.upf
CELL_PARAMETERS angstrom
4.680 0.000 0.000
0.000 4.680 0.000
0.000 0.000 12.611
ATOMIC_POSITIONS angstrom
Ac 0.000 0.000 0.000
Ac 2.340 2.340 6.305
Nd 0.000 2.340 3.153
Nd 0.000 2.340 9.458
Nd 2.340 0.000 3.153
Nd 2.340 0.000 9.458
Rh 0.000 0.000 4.984
Rh 0.000 0.000 7.627
Rh 2.340 2.340 1.321
Rh 2.340 2.340 11.289
! - Energy of formation: -224 kJ/mol of formula units
! - DFT total energy: -61.34 eV/cell
! - Density of states at the Fermi level: 0.587 states/eV/atom
! - Energy above the lowest structure with this stoichiometry: 105.2 meV/atom
! - Spin magnetization: 0.00 μB/f.u.

---

(7)
! AcNd4Rh4, relaxed, DFT PBE-GGA; values from VASP
&SYSTEM
  ibrav = 0, nat = 18, ntyp = 3
/
ATOMIC_SPECIES
Ac 227.00 Ac.upf
Nd 144.24 Nd.upf
Rh 102.91 Rh.upf
CELL_PARAMETERS angstrom
9.224 0.000 0.000
0.000 9.224 0.000
0.000 0.000 5.789
ATOMIC_POSITIONS angstrom
Ac 2.306 2.306 1.447
Ac 6.918 6.918 4.342
Nd 0.677 6.031 1.030
Nd 1.419 8.546 3.925
Nd 3.193 5.289 3.925
Nd 3.935 7.805 1.030
Nd 5.289 1.419 4.758
Nd 6.031 3.935 1.864
Nd 7.805 0.677 1.864
Nd 8.546 3.193 4.758
Rh 0.359 5.745 3.890
Rh 1.133 8.864 0.995
Rh 3.479 4.971 0.995
Rh 4.253 8.091 3.890
Rh 4.971 1.133 1.899
Rh 5.745 4.253 4.793
Rh 8.091 0.359 4.793
Rh 8.864 3.479 1.899
! - Energy of formation: -499 kJ/mol of formula units
! - DFT total energy: -115.52 eV/cell
! - Density of states at the Fermi level: 0.595 states/eV/atom
! - Spin magnetization: 0.00 μB/f.u.

---

(8)
! Ac3Nd2Rh3, relaxed, DFT PBE-GGA; values from VASP
&SYSTEM
  ibrav = 0, nat = 16, ntyp = 3
/
ATOMIC_SPECIES
Ac 227.00 Ac.upf
Nd 144.24 Nd.upf
Rh 102.91 Rh.upf
CELL_PARAMETERS angstrom
6.641 -2.907 0.000
6.641 2.907 0.000
-0.459 0.000 14.403
ATOMIC_POSITIONS angstrom
Ac 0.000 0.000 0.000
Ac -0.021 0.000 3.787
Ac 2.519 0.000 9.126
Ac 7.614 0.000 11.587
Ac 9.277 0.000 1.923
Ac 11.886 0.000 7.336
Nd 3.232 0.000 13.589
Nd 3.694 0.000 4.590
Nd 8.151 0.000 6.370
Nd 11.392 0.000 11.076
Rh 0.860 0.000 11.799
Rh 1.316 0.000 6.326
Rh 2.217 0.000 1.893
Rh 9.492 0.000 9.010
Rh 10.080 0.000 13.520
Rh 10.561 0.000 4.719
! - Energy of formation: -383 kJ/mol of formula units
! - DFT total energy: -95.77 eV/cell
! - Density of states at the Fermi level: 0.675 states/eV/atom
! - Spin magnetization: 0.00 μB/f.u.

---

(9)
! Ac2Nd2Rh3, relaxed, DFT PBE-GGA; values from VASP
&SYSTEM
  ibrav = 0, nat = 14, ntyp = 3
/
ATOMIC_SPECIES
Ac 227.00 Ac.upf
Nd 144.24 Nd.upf
Rh 102.91 Rh.upf
CELL_PARAMETERS angstrom
13.424 0.000 0.000
0.000 4.286 0.000
-1.173 0.000 7.249
ATOMIC_POSITIONS angstrom
Ac 1.328 0.000 2.641
Ac 4.211 2.143 4.608
Ac 8.040 2.143 2.641
Ac 10.924 0.000 4.608
Nd 0.681 2.143 6.539
Nd 4.858 0.000 0.710
Nd 7.394 0.000 6.539
Nd 11.570 2.143 0.710
Rh 0.000 0.000 0.000
Rh 2.272 0.000 5.392
Rh 3.267 2.143 1.858
Rh 6.712 2.143 0.000
Rh 8.984 2.143 5.392
Rh 9.980 0.000 1.858
! - Energy of formation: -405 kJ/mol of formula units
! - DFT total energy: -88.02 eV/cell
! - Density of states at the Fermi level: 0.527 states/eV/atom
! - Spin magnetization: 0.00 μB/f.u.

---

(10)
! Ac2Nd3Rh2, relaxed, DFT PBE-GGA; values from VASP
&SYSTEM
  ibrav = 0, nat = 14, ntyp = 3
/
ATOMIC_SPECIES
Ac 227.00 Ac.upf
Nd 144.24 Nd.upf
Rh 102.91 Rh.upf
CELL_PARAMETERS angstrom
12.713 0.000 0.000
0.000 3.999 0.000
-4.007 0.000 8.573
ATOMIC_POSITIONS angstrom
Ac 0.914 0.000 2.580
Ac 1.435 2.000 5.992
Ac 7.271 2.000 2.580
Ac 7.792 0.000 5.992
Nd -2.003 2.000 4.286
Nd -2.190 2.000 7.907
Nd 4.540 0.000 0.666
Nd 4.353 0.000 4.286
Nd 4.166 0.000 7.907
Nd 10.896 2.000 0.666
Rh -0.798 0.000 6.373
Rh 3.148 2.000 2.200
Rh 5.558 2.000 6.373
Rh 9.504 0.000 2.200
! - Energy of formation: -313 kJ/mol of formula units
! - DFT total energy: -80.93 eV/cell
! - Density of states at the Fermi level: 1.129 states/eV/atom
! - Spin magnetization: 0.00 μB/f.u.

---

(11)
! Ac3NdRh2, relaxed, DFT PBE-GGA; values from VASP
&SYSTEM
  ibrav = 0, nat = 12, ntyp = 3
/
ATOMIC_SPECIES
Ac 227.00 Ac.upf
Nd 144.24 Nd.upf
Rh 102.91 Rh.upf
CELL_PARAMETERS angstrom
9.005 -2.169 0.000
9.005 2.169 0.000
-7.622 0.000 10.845
ATOMIC_POSITIONS angstrom
Ac -0.367 0.000 2.094
Ac -0.947 0.000 6.066
Ac -1.559 0.000 10.254
Ac 11.948 0.000 0.591
Ac 11.336 0.000 4.779
Ac 10.756 0.000 8.751
Nd 5.602 0.000 3.344
Nd 4.787 0.000 7.501
Rh -4.384 0.000 9.414
Rh 1.998 0.000 6.760
Rh 8.391 0.000 4.085
Rh 14.773 0.000 1.431
! - Energy of formation: -308 kJ/mol of formula units
! - DFT total energy: -69.98 eV/cell
! - Density of states at the Fermi level: 0.973 states/eV/atom
! - Spin magnetization: 0.00 μB/f.u.

---

(12)
! Ac3Nd4Rh4, relaxed, DFT PBE-GGA; values from VASP
&SYSTEM
  ibrav = 0, nat = 11, ntyp = 3
/
ATOMIC_SPECIES
Ac 227.00 Ac.upf
Nd 144.24 Nd.upf
Rh 102.91 Rh.upf
CELL_PARAMETERS angstrom
-2.045 4.596 8.269
2.045 -4.596 8.269
2.045 4.596 -8.269
ATOMIC_POSITIONS angstrom
Ac 0.000 0.000 0.000
Ac 2.045 0.000 6.570
Ac 0.000 4.596 1.699
Nd 2.045 1.723 -2.791
Nd 2.045 1.723 2.791
Nd 0.000 2.872 5.478
Nd 0.000 2.872 11.059
Rh 0.000 0.000 4.102
Rh 2.045 2.457 0.000
Rh 0.000 2.138 8.269
Rh 0.000 0.000 12.435
! - Energy of formation: -524 kJ/mol of formula units
! - DFT total energy: -66.23 eV/cell
! - Density of states at the Fermi level: 0.648 states/eV/atom
! - Spin magnetization: 0.00 μB/f.u.